1.
DFT (GGA-PBE) results for a relaxed YBe2Se crystal.

a = 4.0721 Å, b = 4.0721 Å, c = 5.4978 Å
α = 79.72°, β = 79.72°, γ = 53.29°
Fractional positions:
Be: 0.6782 0.6782 0.8838
Be: 0.9954 0.9954 0.8530
Se: 0.5410 0.5410 0.5585
Y: 0.2854 0.2854 0.2047

2.
DFT (GGA-PBE) results for a relaxed AlTlO2 crystal.

a = 5.8238 Å, b = 3.9881 Å, c = 9.2548 Å
α = 90.00°, β = 90.00°, γ = 90.00°
Fractional positions:
Al: 0.4999 0.7500 0.1225
Al: 0.9999 0.7500 0.3775
Al: 0.0001 0.2500 0.6225
Al: 0.5001 0.2500 0.8775
O: 0.4997 0.2500 0.0798
O: 0.5003 0.7500 0.9202
O: 0.2501 0.2500 0.7500
O: 0.7499 0.7500 0.2500
O: 0.2499 0.7500 0.2500
O: 0.9997 0.2500 0.4202
O: 0.7501 0.2500 0.7500
O: 0.0003 0.7500 0.5798
Tl: 0.9994 0.2500 0.1250
Tl: 0.4994 0.2500 0.3750
Tl: 0.5006 0.7500 0.6250
Tl: 0.0006 0.7500 0.8750

Summary:
Energy above the most stable polymorph in this dataset   19.6 kJ/mol of atoms

Number 1: formation energy (no corrections) -329 meV/atom. Number 2: formation energy (no corrections) -1926 meV/atom.